{"formula": "RbYH2Se", "functional": "GGA-PBE", "state": "optimized geometry", "m_tot_mub_per_atom": 0.00, "space_group": "No. 123", "total_energy_ev_per_atom": -4.326, "cell": [[-0.950, -3.699, -2.630], [2.972, -2.538, 2.495], [-4.074, -1.395, 3.435]], "species": ["Y", "H", "H", "Se", "Rb"], "frac_coords": [[0.000, 0.000, 0.000], [0.000, 0.500, 0.000], [0.500, 0.000, 0.000], [0.000, 0.000, 0.500], [0.500, 0.500, 0.500]]}

***

{"formula": "Er3PdPt", "functional": "GGA-PBE", "state": "optimized geometry", "m_tot_mub_per_atom": 0.00, "space_group": "No. 59", "total_energy_ev_per_atom": -5.847, "delta_e_f_ev_per_atom": -0.862, "cell": [[-1.042, 0.123, 3.963], [-6.177, -3.020, -1.530], [3.528, -7.809, 1.169]], "species": ["Er", "Er", "Er", "Er", "Er", "Er", "Pd", "Pd", "Pt", "Pt"], "frac_coords": [[0.750, 0.750, 0.052], [0.250, 0.250, 0.948], [0.750, 0.989, 0.673], [0.750, 0.511, 0.673], [0.250, 0.011, 0.327], [0.250, 0.489, 0.327], [0.750, 0.250, 0.167], [0.250, 0.750, 0.833], [0.750, 0.750, 0.399], [0.250, 0.250, 0.601]]}

***

{"formula": "CaMg2Cl", "functional": "GGA-PBE", "state": "optimized geometry", "e_form_raw_mev_per_atom": -553, "m_tot_mub_per_atom": 0.00, "space_group": "No. 8", "de_polymorph_mev_per_atom": 129, "total_energy_ev_per_atom": -2.313, "cell": [[-2.055, -4.909, 1.770], [0.647, -5.545, -0.538], [3.279, -2.442, 4.514]], "species": ["Ca", "Cl", "Mg", "Mg"], "frac_coords": [[0.537, 0.537, 0.393], [0.253, 0.253, 0.385], [0.974, 0.974, 0.934], [0.735, 0.735, 0.789]]}

***

{"formula": "CeGaNi3", "functional": "GGA-PBE", "state": "optimized geometry", "m_tot_mub_per_atom": 0.01, "space_group": "No. 63", "de_polymorph_mev_per_atom": 114, "total_energy_ev_per_atom": -5.426, "delta_e_f_ev_per_atom": -0.165, "cell": [[4.516, 0.000, 0.000], [0.000, 4.791, 0.000], [0.000, 2.396, 7.690]], "species": ["Ce", "Ce", "Ga", "Ga", "Ni", "Ni", "Ni", "Ni", "Ni", "Ni"], "frac_coords": [[0.750, 0.409, 0.182], [0.250, 0.591, 0.818], [0.750, 0.144, 0.712], [0.250, 0.856, 0.288], [0.750, 0.544, 0.441], [0.750, 0.015, 0.441], [0.250, 0.985, 0.559], [0.250, 0.456, 0.559], [0.000, 0.000, 0.000], [0.500, 0.000, 0.000]]}

***

{"formula": "ZnIn2Bi", "functional": "GGA-PBE", "state": "optimized geometry", "m_tot_mub_per_atom": 0.00, "space_group": "No. 166", "de_polymorph_mev_per_atom": 95, "total_energy_ev_per_atom": -2.489, "delta_e_f_ev_per_atom": 0.169, "cell": [[3.334, 0.000, 0.000], [1.667, 2.887, 0.000], [1.667, 0.962, 11.718]], "species": ["Zn", "Bi", "In", "In"], "frac_coords": [[0.000, 0.000, 0.000], [0.500, 0.500, 0.500], [0.082, 0.082, 0.755], [0.918, 0.918, 0.245]]}

***

{"formula": "Na2In2Hg5", "functional": "GGA-PBE", "state": "optimized geometry", "m_tot_mub_per_atom": 0.00, "space_group": "No. 46", "de_polymorph_mev_per_atom": 3, "total_energy_ev_per_atom": -1.148, "delta_e_f_ev_per_atom": -0.078, "cell": [[7.059, 0.000, 0.000], [0.000, 9.248, 0.000], [-3.529, -4.624, 7.675]], "species": ["Na", "Na", "Na", "Na", "In", "In", "In", "In", "Hg", "Hg", "Hg", "Hg", "Hg", "Hg", "Hg", "Hg", "Hg", "Hg"], "frac_coords": [[0.097, 0.696, 0.263], [0.903, 0.433, 0.737], [0.665, 0.196, 0.263], [0.335, 0.933, 0.737], [0.000, 0.990, 0.000], [0.500, 0.490, 0.000], [0.280, 0.381, 0.500], [0.720, 0.881, 0.500], [0.263, 0.727, 0.895], [0.737, 0.831, 0.105], [0.132, 0.227, 0.895], [0.868, 0.331, 0.105], [0.361, 0.989, 0.295], [0.639, 0.694, 0.705], [0.434, 0.489, 0.295], [0.566, 0.194, 0.705], [0.949, 0.594, 0.500], [0.051, 0.094, 0.500]]}